Computed, not measured: a geometry-optimized AcIn4Sn2 structure at the PBE-GGA level of DFT.

Cell: 4.5459 4.6356 10.3102 Å, 102.99 90.00 90.00°
With the nearest neighbours (Å) after each atom.
Positions (direct):
1 Ac 0.0000 0.0000 0.0000  8 Sn 3.57
2 In 0.5000 0.8187 0.6373  2 Sn 3.17, 6 In 3.25-3.51
3 In 0.0000 0.6858 0.3717  2 Sn 3.20, 8 In 3.25-3.51
4 In 0.5000 0.1813 0.3627  2 Sn 3.17, 6 In 3.25-3.51
5 In 0.0000 0.3142 0.6283  2 Sn 3.20, 8 In 3.25-3.51
6 Sn 0.5000 0.5736 0.1472  1 Sn 2.96, 4 In 3.17-3.20
7 Sn 0.5000 0.4264 0.8528  1 Sn 2.96, 4 In 3.17-3.20

**Formation energy from the elements**: -0.179 eV/atom
**Calculated volume**: 211.7 Å³/cell

***

Computed, not measured: a geometry-optimized CeDyNi2P2 structure at the PBE-GGA level of DFT.

Cell: 3.9210 3.9210 7.7929 Å, 90.00 90.00 120.00°
With the nearest neighbours (Å) after each atom.
Positions (direct):
1 Ce 0.0000 0.0000 0.0000  6 Ni 2.95, 6 P 3.03
2 Dy 0.0000 0.0000 0.5000  6 P 2.94, 6 Ni 3.02
3 Ni 0.6667 0.3333 0.2431  3 P 2.27
4 Ni 0.3333 0.6667 0.7569  3 P 2.27
5 P 0.6667 0.3333 0.7409  3 Ni 2.27
6 P 0.3333 0.6667 0.2591  3 Ni 2.27

**Formation energy from the elements**: -1.200 eV/atom
**Calculated volume**: 103.8 Å³/cell

***

Computed, not measured: a geometry-optimized Pb2C structure at the PBE-GGA level of DFT.

Cell: 3.5567 9.6954 8.7794 Å, 90.00 90.00 90.00°
With the nearest neighbours (Å) after each atom.
Positions (direct):
1 Pb 0.2500 0.9962 0.8260  3 C 2.48-2.49
2 Pb 0.7500 0.5038 0.3260  3 C 2.48-2.49
3 Pb 0.2500 0.4962 0.6740  3 C 2.48-2.49
4 Pb 0.7500 0.0038 0.1740  3 C 2.48-2.49
5 Pb 0.2500 0.1906 0.5018  2 C 2.42
6 Pb 0.7500 0.3094 0.0018  2 C 2.42
7 Pb 0.2500 0.6906 0.9982  2 C 2.42
8 Pb 0.7500 0.8094 0.4982  2 C 2.42
9 C 0.2500 0.6468 0.4446  5 Pb 2.42-2.49
10 C 0.7500 0.8532 0.9446  5 Pb 2.42-2.49
11 C 0.2500 0.1468 0.0554  5 Pb 2.42-2.49
12 C 0.7500 0.3532 0.5554  5 Pb 2.42-2.49

**Formation energy from the elements**: 1.125 eV/atom
**Calculated volume**: 302.7 Å³/cell

***

Computed, not measured: a geometry-optimized Ba6AgPAu2 structure at the PBE-GGA level of DFT.

Cell: 8.2245 8.2260 9.0968 Å, 63.13 63.13 59.99°
With the nearest neighbours (Å) after each atom.
Positions (direct):
1 Ba 0.5823 0.2419 0.2436  1 P 3.17, 2 Au 3.33-3.34, 1 Ag 3.46
2 Ba 0.2419 0.9323 0.2435  1 P 3.18, 2 Au 3.33-3.34, 1 Ag 3.46
3 Ba 0.9320 0.5825 0.2434  1 P 3.18, 2 Au 3.33-3.34, 1 Ag 3.46
4 Ba 0.4073 0.7207 0.7603  1 P 3.23, 2 Au 3.36-3.38, 1 Ag 3.45
5 Ba 0.7209 0.1117 0.7600  1 P 3.23, 2 Au 3.36-3.38, 1 Ag 3.45
6 Ba 0.1119 0.4072 0.7601  1 P 3.23, 2 Au 3.36-3.37, 1 Ag 3.45
7 Ag 0.8265 0.8263 0.5207  6 Ba 3.45-3.46
8 P 0.3257 0.3257 0.0229  6 Ba 3.17-3.23
9 Au 0.5104 0.5106 0.4686  6 Ba 3.33-3.38
10 Au 0.0026 0.0027 0.9921  6 Ba 3.34-3.36

**Formation energy from the elements**: -0.549 eV/atom
**Calculated volume**: 454.6 Å³/cell

***

Computed, not measured: a geometry-optimized SrAlCl2 structure at the PBE-GGA level of DFT.

Cell: 4.2539 5.5902 5.6218 Å, 82.95 90.00 90.00°
With the nearest neighbours (Å) after each atom.
Positions (direct):
1 Sr 0.5000 0.2500 0.2500  4 Cl 2.89
2 Al 0.5000 0.7500 0.7500  4 Cl 3.09
3 Cl 0.0000 0.0168 0.0163  2 Sr 2.89, 2 Al 3.09
4 Cl 0.0000 0.4832 0.4837  2 Sr 2.89, 2 Al 3.09

**Uncorrected formation energy**: -1090 meV per atom
**Calculated volume**: 132.7 Å³/cell

***

Computed, not measured: a geometry-optimized Tl2RhBr structure at the PBE-GGA level of DFT.

Cell: 8.4789 8.4789 8.4789 Å, 25.62 25.62 25.62°
With the nearest neighbours (Å) after each atom.
Positions (direct):
1 Tl 0.0126 0.0126 0.0126  3 Rh 2.78
2 Tl 0.4874 0.4874 0.4874  3 Rh 2.78
3 Rh 0.7500 0.7500 0.7500  6 Tl 2.78
4 Br 0.2500 0.2500 0.2500  6 Tl 3.21

**Uncorrected formation energy**: -66 meV per atom
**Calculated volume**: 100.4 Å³/cell

***

> What is the formula in the third record?

Pb2C